Compound: InOs3Cl
Source: Alexandria via LeMat-Bulk
Functional: PBE-GGA
Structure: optimized geometry

a b c (Å): 4.415 4.415 4.415
angles (deg): 90.00 90.00 90.00
Element x y z (fractional)
Cl 0.000 0.000 0.000
Os 0.000 0.500 0.000
Os 0.000 0.000 0.500
Os 0.500 0.000 0.000
In 0.500 0.500 0.500

Relative energy among the computed polymorphs: 0 meV/atom
Formation energy from raw total energies: 1.823 eV per atom
SG: Pm-3m, No. 221
Magnetization: 0.00 μB per cell
Final energy: -5.832 eV/atom

Compound: InOsCl
Source: Alexandria via LeMat-Bulk
Functional: PBE-GGA
Structure: optimized geometry

a b c (Å): 4.515 4.515 4.515
angles (deg): 60.00 60.00 60.00
Each line ends with the local moment (μB).
Element x y z (fractional)
Cl 0.000 0.000 0.000  0.11
Os 0.250 0.250 0.250  1.24
In 0.500 0.500 0.500  0.02

Relative energy among the computed polymorphs: 403 meV/atom
Formation energy from raw total energies: 1.028 eV per atom
SG: F-43m, No. 216
Magnetization: 1.49 μB per cell
Final energy: -4.243 eV/atom

Compound: InOsCl3
Source: Alexandria via LeMat-Bulk
Functional: PBE-GGA
Structure: optimized geometry

a b c (Å): 4.903 4.903 4.903
angles (deg): 90.00 90.00 90.00
Each line ends with the local moment (μB).
Element x y z (fractional)
Cl 0.000 0.500 0.000  0.02
Cl 0.000 0.000 0.500  0.02
Cl 0.500 0.000 0.000  0.05
Os 0.000 0.000 0.000  1.12
In 0.500 0.500 0.500  0.01

Relative energy among the computed polymorphs: 0 meV/atom
Formation energy from raw total energies: 0.006 eV per atom
SG: Pm-3m, No. 221
Magnetization: 1.37 μB per cell
Final energy: -3.895 eV/atom